## LuZn (PBE)

Data for an optimized crystal structure of LuZn.

Geometry as extended XYZ:
```
2
Lattice="0.0000 2.8851 2.8851 2.8851 0.0000 2.8851 2.8851 2.8851 0.0000" Properties=species:S:1:pos:R:3 pbc="T T T"
Lu 0.0000 0.0000 0.0000
Zn 2.8851 2.8851 2.8851
```

***

## LuZn (PBE)

Data for an optimized crystal structure of LuZn.

Geometry as extended XYZ:
```
16
Lattice="4.9512 0.0000 0.0000 0.0000 6.4415 0.0000 0.0000 0.0000 10.6444" Properties=species:S:1:pos:R:3 pbc="T T T"
Lu 1.2378 0.0589 0.9583
Lu 1.2378 1.6104 3.8884
Lu 1.2378 1.6104 8.3746
Lu 1.2378 3.1619 0.9583
Lu 3.7134 3.2797 9.6860
Lu 3.7134 4.8311 2.2698
Lu 3.7134 4.8311 6.7559
Lu 3.7134 6.3826 9.6860
Zn 1.2378 3.3953 6.1598
Zn 1.2378 4.8311 3.9036
Zn 1.2378 4.8311 8.6682
Zn 1.2378 6.2670 6.1598
Zn 3.7134 0.1745 4.4846
Zn 3.7134 1.6104 1.9762
Zn 3.7134 1.6104 6.7407
Zn 3.7134 3.0462 4.4846
```

***

## LuZn (PBE)

Data for an optimized crystal structure of LuZn.

Geometry as extended XYZ:
```
8
Lattice="6.5206 0.0000 0.0000 0.0000 4.5054 0.0000 0.0000 0.0000 5.8576" Properties=species:S:1:pos:R:3 pbc="T T T"
Lu 1.0684 1.1263 0.7785
Lu 2.1919 3.3790 3.7073
Lu 4.3288 1.1263 2.1503
Lu 5.4522 3.3790 5.0791
Zn 0.3255 1.1263 3.7015
Zn 2.9349 3.3790 0.7727
Zn 3.5858 1.1263 5.0849
Zn 6.1952 3.3790 2.1561
```

***

3
Lattice="0.0000 3.3791 3.3791 3.3791 0.0000 3.3791 3.3791 3.3791 0.0000" Properties=species:S:1:pos:R:3 comment="LuZrZn | OQMD | PBE | optimized geometry" e_above_lowest_polymorph_mev_per_atom=0 pbc="T T T"
Lu 0.0000 0.0000 0.0000
Zr 1.6896 1.6896 1.6896
Zn 3.3791 3.3791 3.3791

***

## Lu2ZrZn (PBE)

Data for an optimized crystal structure of Lu2ZrZn.

Geometry as extended XYZ:
```
4
Lattice="0.0000 3.5831 3.5831 3.5831 0.0000 3.5831 3.5831 3.5831 0.0000" Properties=species:S:1:pos:R:3 pbc="T T T"
Lu 0.0000 0.0000 0.0000
Lu 1.7916 1.7916 1.7916
Zr 3.5831 3.5831 3.5831
Zn 5.3747 5.3747 5.3747
```

***

## LuZr2 (PBE)

Data for an optimized crystal structure of LuZr2.

Geometry as extended XYZ:
```
6
Lattice="5.7532 0.0000 0.0000 -2.8766 4.9825 0.0000 0.0000 0.0000 5.2102" Properties=species:S:1:pos:R:3 pbc="T T T"
Lu 0.0000 3.3216 0.0000
Lu 2.8766 1.6608 0.0000
Zr 0.0000 0.0000 0.0000
Zr -0.9202 1.5938 2.6051
Zr 1.8404 0.0000 2.6051
Zr 1.9564 3.3886 2.6051
```

***

no.,energy of formation (meV/atom)
1,-31.7
2,-151.8
3,-304.6
4,726.1
5,115.2
6,16.7